Record 1
Density functional theory data (GGA-PBE) for a relaxed TcBPS2 crystal.

Results
**Final energy**: -26.20 eV for the cell shown
**Total magnetization**: 0.985 μB per cell
**Raw formation energy**: 4.51 eV per formula unit
**Excess energy over the best structure of this formula in the dataset**: 0.0 meV per atom
**Crystal system**: tetragonal

Structure (CIF):
```
data_TcBPS2
_cell_length_a 4.134
_cell_length_b 4.134
_cell_length_c 3.936
_cell_angle_alpha 90.00
_cell_angle_beta 90.00
_cell_angle_gamma 90.00
_symmetry_space_group_name_H-M 'P 4/m m m'
_symmetry_Int_Tables_number 123
_symmetry_space_group_name_Hall '-P 4 2'
loop_
_atom_site_label
_atom_site_type_symbol
_atom_site_fract_x
_atom_site_fract_y
_atom_site_fract_z
Tc1 Tc 0.000 0.000 0.000
B1 B 0.500 0.500 0.500
P1 P 0.500 0.500 0.000
S1 S 0.000 0.500 0.500
```

---

Record 2
Density functional theory data (GGA-PBE) for a relaxed In2BiSI crystal.

Results
**Final energy**: -14.78 eV for the cell shown
**Total magnetization**: 0.000 μB per cell
**Raw formation energy**: 0.26 eV per formula unit
**Crystal system**: tetragonal

Structure (CIF):
```
data_In2BiSI
_cell_length_a 6.076
_cell_length_b 6.076
_cell_length_c 5.273
_cell_angle_alpha 90.00
_cell_angle_beta 90.00
_cell_angle_gamma 90.00
_symmetry_space_group_name_H-M 'P 4/m m m'
_symmetry_Int_Tables_number 123
_symmetry_space_group_name_Hall '-P 4 2'
loop_
_atom_site_label
_atom_site_type_symbol
_atom_site_fract_x
_atom_site_fract_y
_atom_site_fract_z
In1 In 0.000 0.500 0.000
Bi1 Bi 0.000 0.000 0.500
S1 S 0.000 0.000 0.000
I1 I 0.500 0.500 0.500
```